# 1
A plane-wave DFT calculation with GGA-PBE was carried out for a relaxed structure of Li4TmPb7.

Lattice parameters (Å, degrees): 5.8381 8.3418 7.7400 69.31 67.84 69.52
Fractional positions:
Li 0.5287 0.2937 0.6488
Li 0.4713 0.7063 0.3512
Li 0.6830 0.6614 0.9726
Li 0.3170 0.3386 0.0274
Tm 0.0000 0.0000 0.0000
Pb 0.7862 0.8786 0.5490
Pb 0.2138 0.1214 0.4510
Pb 0.0781 0.5894 0.2545
Pb 0.9219 0.4106 0.7455
Pb 0.2773 0.6834 0.7619
Pb 0.5000 0.0000 0.0000
Pb 0.7227 0.3166 0.2381

Summary:
Its total energy is -39.6 eV for the cell shown. The space-group type is C2/m, No. 12. The crystal system is monoclinic. The value obtained for the magnetization is 0.00 μB per cell. The calculation puts the formation energy at -0.13 eV per atom.


# 2
A plane-wave DFT calculation with GGA-PBE was carried out for a relaxed structure of Sc2Ag2As.

Lattice parameters (Å, degrees): 7.1416 7.1416 3.9692 90.00 90.00 90.00
Fractional positions:
Sc 0.1681 0.6681 0.5000
Sc 0.6681 0.8319 0.5000
Sc 0.8319 0.3319 0.5000
Sc 0.3319 0.1681 0.5000
As 0.0000 0.0000 0.0000
As 0.5000 0.5000 0.0000
Ag 0.3674 0.8674 0.0000
Ag 0.8674 0.6326 0.0000
Ag 0.6326 0.1326 0.0000
Ag 0.1326 0.3674 0.0000

Summary:
Its total energy is -49.0 eV for the cell shown. The space-group type is P4/mbm, No. 127. The crystal system is tetragonal. The value obtained for the magnetization is 0.00 μB per cell. The calculation puts the formation energy at -0.30 eV per atom.


# 3
A plane-wave DFT calculation with GGA-PBE was carried out for a relaxed structure of YClO.

Lattice parameters (Å, degrees): 3.7279 3.7279 14.8422 90.00 90.00 120.00
Fractional positions:
Y 0.0000 0.0000 0.8909
Y 0.3333 0.6667 0.5576
Y 0.6667 0.3333 0.2242
Cl 0.0000 0.0000 0.0949
Cl 0.3333 0.6667 0.7616
Cl 0.6667 0.3333 0.4283
O 0.0000 0.0000 0.5869
O 0.3333 0.6667 0.2535
O 0.6667 0.3333 0.9202

Summary:
Its total energy is -66.2 eV for the cell shown. The space-group type is R3m, No. 160. The crystal system is trigonal. The value obtained for the magnetization is 0.00 μB per cell.